(w)
Density functional theory data (PBE) for PrGd2Er after structural relaxation.

The value obtained for the size of the total moment is 14.642 Bohr magnetons per cell.

```
data_PrGd2Er
_chemical_formula_sum 'Pr1 Gd2 Er1'
_symmetry_space_group_name_H-M 'P 4/m m m'
_symmetry_Int_Tables_number 123
_symmetry_space_group_name_Hall '-P 4 2'
_cell_length_a 5.0711
_cell_length_b 5.0711
_cell_length_c 5.1038
_cell_angle_alpha 90.00
_cell_angle_beta 90.00
_cell_angle_gamma 90.00
loop_
_atom_site_label
_atom_site_fract_x
_atom_site_fract_y
_atom_site_fract_z
Pr1 0.0000 0.0000 0.0000
Gd1 0.0000 0.5000 0.5000
Er1 0.5000 0.5000 0.0000
```


(x)
Density functional theory data (PBE) for PrGd2Er after structural relaxation.

The value obtained for the size of the total moment is 14.559 Bohr magnetons per cell.

```
data_PrGd2Er
_chemical_formula_sum 'Pr1 Gd2 Er1'
_symmetry_space_group_name_H-M 'P 4/m m m'
_symmetry_Int_Tables_number 123
_symmetry_space_group_name_Hall '-P 4 2'
_cell_length_a 3.6045
_cell_length_b 3.6045
_cell_length_c 10.1402
_cell_angle_alpha 90.00
_cell_angle_beta 90.00
_cell_angle_gamma 90.00
loop_
_atom_site_label
_atom_site_fract_x
_atom_site_fract_y
_atom_site_fract_z
Pr1 0.0000 0.0000 0.0000
Gd1 0.5000 0.5000 0.2567
Er1 0.0000 0.0000 0.5000
```


So which one is most stable? That would be (w), about 0.8 kJ/mol of atoms below the next structure.


(w)
Density functional theory data (PBE) for Gd2ErPt after structural relaxation.

The value obtained for the size of the total moment is 14.852 Bohr magnetons per cell.

```
data_Gd2ErPt
_chemical_formula_sum 'Gd2 Er1 Pt1'
_symmetry_space_group_name_H-M 'P 4/m m m'
_symmetry_Int_Tables_number 123
_symmetry_space_group_name_Hall '-P 4 2'
_cell_length_a 3.6114
_cell_length_b 3.6114
_cell_length_c 8.3010
_cell_angle_alpha 90.00
_cell_angle_beta 90.00
_cell_angle_gamma 90.00
loop_
_atom_site_label
_atom_site_fract_x
_atom_site_fract_y
_atom_site_fract_z
Gd1 0.0000 0.0000 0.1995
Er1 0.5000 0.5000 0.5000
Pt1 0.5000 0.5000 0.0000
```


(x)
Density functional theory data (PBE) for Gd2ErPt after structural relaxation.

The value obtained for the size of the total moment is 45.224 Bohr magnetons per cell.

```
data_Gd2ErPt
_chemical_formula_sum 'Gd6 Er3 Pt3'
_symmetry_space_group_name_H-M 'R -3 m'
_symmetry_Int_Tables_number 166
_symmetry_space_group_name_Hall '-R 3 2"'
_cell_length_a 3.7303
_cell_length_b 3.7303
_cell_length_c 31.5034
_cell_angle_alpha 90.00
_cell_angle_beta 90.00
_cell_angle_gamma 120.00
loop_
_atom_site_label
_atom_site_fract_x
_atom_site_fract_y
_atom_site_fract_z
Gd1 0.0000 0.0000 0.1090
Er1 0.0000 0.0000 0.0000
Pt1 0.0000 0.0000 0.5000
```


So which one is most stable? That would be (w), about 26.4 kJ/mol of atoms below the next structure.


(w)
Density functional theory data (PBE) for GdEr2Pu after structural relaxation.

The value obtained for the size of the total moment is 0.891 Bohr magnetons per cell.

```
data_GdEr2Pu
_chemical_formula_sum 'Gd1 Er2 Pu1'
_symmetry_space_group_name_H-M 'P 4/m m m'
_symmetry_Int_Tables_number 123
_symmetry_space_group_name_Hall '-P 4 2'
_cell_length_a 5.7415
_cell_length_b 5.7415
_cell_length_c 3.6870
_cell_angle_alpha 90.00
_cell_angle_beta 90.00
_cell_angle_gamma 90.00
loop_
_atom_site_label
_atom_site_fract_x
_atom_site_fract_y
_atom_site_fract_z
Gd1 0.0000 0.0000 0.0000
Er1 0.0000 0.5000 0.5000
Pu1 0.5000 0.5000 0.0000
```


(x)
Density functional theory data (PBE) for GdEr2Pu after structural relaxation.

The value obtained for the size of the total moment is 56.008 Bohr magnetons per cell.

```
data_GdEr2Pu
_chemical_formula_sum 'Gd4 Er8 Pu4'
_symmetry_space_group_name_H-M 'F m -3 m'
_symmetry_Int_Tables_number 225
_symmetry_space_group_name_Hall '-F 4 2 3'
_cell_length_a 7.8571
_cell_length_b 7.8571
_cell_length_c 7.8571
_cell_angle_alpha 90.00
_cell_angle_beta 90.00
_cell_angle_gamma 90.00
loop_
_atom_site_label
_atom_site_fract_x
_atom_site_fract_y
_atom_site_fract_z
Gd1 0.0000 0.0000 0.0000
Er1 0.2500 0.2500 0.2500
Pu1 0.0000 0.0000 0.5000
```


So which one is most stable? That would be (w), about 0.6 kJ/mol of atoms below the next structure.


(w)
Density functional theory data (PBE) for GdErRh after structural relaxation.

The value obtained for the size of the total moment is 29.200 Bohr magnetons per cell.

```
data_GdErRh
_chemical_formula_sum 'Gd4 Er4 Rh4'
_symmetry_space_group_name_H-M 'F -4 3 m'
_symmetry_Int_Tables_number 216
_symmetry_space_group_name_Hall 'F -4 2 3'
_cell_length_a 6.7998
_cell_length_b 6.7998
_cell_length_c 6.7998
_cell_angle_alpha 90.00
_cell_angle_beta 90.00
_cell_angle_gamma 90.00
loop_
_atom_site_label
_atom_site_fract_x
_atom_site_fract_y
_atom_site_fract_z
Gd1 0.0000 0.0000 0.0000
Er1 0.0000 0.0000 0.5000
Rh1 0.2500 0.2500 0.7500
```


(x)
Density functional theory data (PBE) for GdErRh after structural relaxation.

The value obtained for the size of the total moment is 14.685 Bohr magnetons per cell.

```
data_GdErRh
_chemical_formula_sum 'Gd2 Er2 Rh2'
_symmetry_space_group_name_H-M 'I 4 m m'
_symmetry_Int_Tables_number 107
_symmetry_space_group_name_Hall 'I 4 -2'
_cell_length_a 3.4578
_cell_length_b 3.4578
_cell_length_c 12.5663
_cell_angle_alpha 90.00
_cell_angle_beta 90.00
_cell_angle_gamma 90.00
loop_
_atom_site_label
_atom_site_fract_x
_atom_site_fract_y
_atom_site_fract_z
Gd1 0.0000 0.0000 0.0000
Er1 0.0000 0.0000 0.7381
Rh1 0.0000 0.0000 0.3630
```


So which one is most stable? That would be (w), about 2.1 kJ/mol of atoms below the next structure.


(w)
Density functional theory data (PBE) for Gd2ErRu after structural relaxation.

The value obtained for the size of the total moment is 14.292 Bohr magnetons per cell.

```
data_Gd2ErRu
_chemical_formula_sum 'Gd2 Er1 Ru1'
_symmetry_space_group_name_H-M 'P 4/m m m'
_symmetry_Int_Tables_number 123
_symmetry_space_group_name_Hall '-P 4 2'
_cell_length_a 3.4479
_cell_length_b 3.4479
_cell_length_c 8.9166
_cell_angle_alpha 90.00
_cell_angle_beta 90.00
_cell_angle_gamma 90.00
loop_
_atom_site_label
_atom_site_fract_x
_atom_site_fract_y
_atom_site_fract_z
Gd1 0.0000 0.0000 0.1880
Er1 0.5000 0.5000 0.5000
Ru1 0.5000 0.5000 0.0000
```


(x)
Density functional theory data (PBE) for Gd2ErRu after structural relaxation.

The value obtained for the size of the total moment is 44.281 Bohr magnetons per cell.

```
data_Gd2ErRu
_chemical_formula_sum 'Gd6 Er3 Ru3'
_symmetry_space_group_name_H-M 'R -3 m'
_symmetry_Int_Tables_number 166
_symmetry_space_group_name_Hall '-R 3 2"'
_cell_length_a 3.7030
_cell_length_b 3.7030
_cell_length_c 28.5031
_cell_angle_alpha 90.00
_cell_angle_beta 90.00
_cell_angle_gamma 120.00
loop_
_atom_site_label
_atom_site_fract_x
_atom_site_fract_y
_atom_site_fract_z
Gd1 0.0000 0.0000 0.2281
Er1 0.0000 0.0000 0.0000
Ru1 0.0000 0.0000 0.5000
```


So which one is most stable? That would be (w), about 14.5 kJ/mol of atoms below the next structure.


(w)
Density functional theory data (PBE) for GdEr2Se after structural relaxation.

The value obtained for the size of the total moment is 23.910 Bohr magnetons per cell.

```
data_GdEr2Se
_chemical_formula_sum 'Gd3 Er6 Se3'
_symmetry_space_group_name_H-M 'R -3 m'
_symmetry_Int_Tables_number 166
_symmetry_space_group_name_Hall '-R 3 2"'
_cell_length_a 3.6815
_cell_length_b 3.6815
_cell_length_c 30.8043
_cell_angle_alpha 90.00
_cell_angle_beta 90.00
_cell_angle_gamma 120.00
loop_
_atom_site_label
_atom_site_fract_x
_atom_site_fract_y
_atom_site_fract_z
Gd1 0.0000 0.0000 0.0000
Er1 0.0000 0.0000 0.1079
Se1 0.0000 0.0000 0.5000
```


(x)
Density functional theory data (PBE) for GdEr2Se after structural relaxation.

The value obtained for the size of the total moment is 7.530 Bohr magnetons per cell.

```
data_GdEr2Se
_chemical_formula_sum 'Gd1 Er2 Se1'
_symmetry_space_group_name_H-M 'P 4/m m m'
_symmetry_Int_Tables_number 123
_symmetry_space_group_name_Hall '-P 4 2'
_cell_length_a 3.5701
_cell_length_b 3.5701
_cell_length_c 8.5334
_cell_angle_alpha 90.00
_cell_angle_beta 90.00
_cell_angle_gamma 90.00
loop_
_atom_site_label
_atom_site_fract_x
_atom_site_fract_y
_atom_site_fract_z
Gd1 0.0000 0.0000 0.0000
Er1 0.5000 0.5000 0.2929
Se1 0.0000 0.0000 0.5000
```


So which one is most stable? That would be (x), about 10.7 kJ/mol of atoms below the next structure.